(1)
Here is crystalline GaAsNO2 at its relaxed geometry from the Alexandria database. Energies are from PBEsol.

Cell lengths 3.7554, 3.7554, 3.8642 Å; angles 90.00, 90.00, 90.00 degrees
Fractional coordinates of all 5 atoms:
As 0.5000 0.5000 0.5000
O 0.0000 0.5000 0.0000
O 0.5000 0.0000 0.0000
Ga 0.0000 0.0000 0.0000
N 0.0000 0.0000 0.5000

Values from the calculation:
- SG = No. 123

=====

(2)
Here is crystalline GaAsSe2N at its relaxed geometry from the Alexandria database. Energies are from PBEsol.

Cell lengths 4.4909, 4.2968, 4.2968 Å; angles 90.00, 90.00, 90.00 degrees
Fractional coordinates of all 5 atoms:
As 0.5000 0.0000 0.0000
Ga 0.5000 0.5000 0.5000
Se 0.0000 0.0000 0.5000
Se 0.0000 0.5000 0.0000
N 0.0000 0.0000 0.0000

Values from the calculation:
- SG = No. 123

=====

(3)
Here is crystalline GaAsSe2N at its relaxed geometry from the Alexandria database. Energies are from PBEsol.

Cell lengths 4.8763, 4.9124, 4.9124 Å; angles 90.00, 90.00, 90.00 degrees
Fractional coordinates of all 5 atoms:
As 0.5000 0.0000 0.0000
Ga 0.0000 0.0000 0.0000
Se 0.0000 0.0000 0.5000
Se 0.0000 0.5000 0.0000
N 0.5000 0.5000 0.5000

Values from the calculation:
- SG = No. 123

=====

Values for magnetic moment, μB/f.u., ordered as above
0.00; 0.00; 2.36
Values for energy relative to the elements, uncorrected, eV/atom, ordered as above
0.08; 0.65; 1.51
Values for volume, Å³ per cell, ordered as above
54; 83; 118